(1)
Ni3Mo3N | PBE | relaxed

abc: 7.8067 7.8067 7.8067
angles: 60.00 60.00 60.00
Closest atoms and distances in Å follow each position.
Element x y z (fractional)
Ni (0.0000, 0.0000, 0.0000)  6 Ni 2.40
Ni (0.0000, 0.0000, 0.5000)  6 Ni 2.40
Ni (0.0000, 0.5000, 0.0000)  6 Ni 2.40
Ni (0.1297, 0.7901, 0.7901)  6 Ni 2.40-2.65, 6 Mo 2.61-2.68
Ni (0.2099, 0.2099, 0.2099)  6 Ni 2.40-2.65, 6 Mo 2.61-2.68
Ni (0.2099, 0.2099, 0.8703)  6 Ni 2.40-2.65, 6 Mo 2.61-2.68
Ni (0.2099, 0.8703, 0.2099)  6 Ni 2.40-2.65, 6 Mo 2.61-2.68
Ni (0.5000, 0.0000, 0.0000)  6 Ni 2.40
Ni (0.7901, 0.1297, 0.7901)  6 Ni 2.40-2.65, 6 Mo 2.61-2.68
Ni (0.7901, 0.7901, 0.1297)  6 Ni 2.40-2.65, 6 Mo 2.61-2.68
Ni (0.7901, 0.7901, 0.7901)  6 Ni 2.40-2.65, 6 Mo 2.61-2.68
Ni (0.8703, 0.2099, 0.2099)  6 Ni 2.40-2.65, 6 Mo 2.61-2.68
Mo (0.1707, 0.1707, 0.5793)  2 N 2.14
Mo (0.1707, 0.5793, 0.1707)  2 N 2.14
Mo (0.1707, 0.5793, 0.5793)  2 N 2.14
Mo (0.4207, 0.4207, 0.8293)  2 N 2.14
Mo (0.4207, 0.8293, 0.4207)  2 N 2.14
Mo (0.4207, 0.8293, 0.8293)  2 N 2.14
Mo (0.5793, 0.1707, 0.1707)  2 N 2.14
Mo (0.5793, 0.1707, 0.5793)  2 N 2.14
Mo (0.5793, 0.5793, 0.1707)  2 N 2.14
Mo (0.8293, 0.4207, 0.4207)  2 N 2.14
Mo (0.8293, 0.4207, 0.8293)  2 N 2.14
Mo (0.8293, 0.8293, 0.4207)  2 N 2.14
N (0.0000, 0.5000, 0.5000)  6 Mo 2.14
N (0.5000, 0.0000, 0.5000)  6 Mo 2.14
N (0.5000, 0.5000, 0.0000)  6 Mo 2.14
N (0.5000, 0.5000, 0.5000)  6 Mo 2.14

crystal system: cubic

(2)
RbZrHg3S4 | PBE | relaxed

abc: 6.8489 6.8489 6.8489
angles: 90.00 90.00 90.00
Closest atoms and distances in Å follow each position.
Element x y z (fractional)
Rb (0.0000, 0.0000, 0.0000)  4 S 3.48
Zr (0.5000, 0.5000, 0.5000)  4 S 2.45
Hg (0.0000, 0.5000, 0.5000)  4 S 2.84
Hg (0.5000, 0.0000, 0.5000)  4 S 2.84
Hg (0.5000, 0.5000, 0.0000)  4 S 2.84
S (0.2932, 0.2932, 0.2932)  1 Zr 2.45
S (0.2932, 0.7068, 0.7068)  1 Zr 2.45
S (0.7068, 0.2932, 0.7068)  1 Zr 2.45
S (0.7068, 0.7068, 0.2932)  1 Zr 2.45

crystal system: cubic

no.,VASP energy (eV/f.u.)
1,-58.9
2,-31.9